This record from the Alexandria database describes an optimized crystal structure of Mg6PtPb3. The functional is GGA-PBE.

```
data_Mg6PtPb3
_cell_length_a 9.2845
_cell_length_b 10.7695
_cell_length_c 4.8421
_cell_angle_alpha 90.00
_cell_angle_beta 90.00
_cell_angle_gamma 90.00
_symmetry_space_group_name_H-M 'P n n m'
_symmetry_Int_Tables_number 58
loop_
_symmetry_equiv_pos_as_xyz
'x,y,z'
'-x,-y,-z'
'-x,-y,z'
'x,y,-z'
'x+1/2,-y+1/2,-z+1/2'
'-x+1/2,y+1/2,z+1/2'
'-x+1/2,y+1/2,-z+1/2'
'x+1/2,-y+1/2,z+1/2'
loop_
_atom_site_label
_atom_site_fract_x
_atom_site_fract_y
_atom_site_fract_z
Mg1 0.1111 0.2228 0.0000
Mg2 0.1532 0.0424 0.5000
Mg3 0.2480 0.3821 0.5000
Pt1 0.0000 0.0000 0.0000
Pb1 0.0000 0.5000 0.0000
Pb2 0.0705 0.7232 0.5000
```

Summary:
Calculated total energy: -57.8 eV for the cell shown
Total moment: 0.00 μB per cell
N(E_F): 6.981 states/eV/cell